Computed, not measured: a relaxed structure of K2LaSi at the PBE level of DFT.

Energy relative to the elements, uncorrected, meV/atom: -9
Raw total energy, hartree per atom: -0.1156
Total magnetic moment, μB per cell: 0.000

Geometry as POSCAR:
```
K2LaSi
1.0
10.542 0.027 0.000
9.791 3.907 0.000
1.050 0.203 4.548
K Si La
2 1 1
Direct
0.595 0.595 0.408
0.905 0.905 0.092
0.250 0.250 0.250
0.750 0.750 0.750
```